[1]
BeTcBTe: relaxed, PBE-GGA.

POSCAR file:
```
BeTcBTe
1.0
0.000 3.048 3.048
3.048 0.000 3.048
3.048 3.048 0.000
Te Tc Be B
1 1 1 1
Direct
0.250 0.250 0.250
0.000 0.000 0.000
0.750 0.750 0.750
0.500 0.500 0.500
```

Summary:
* symmetry: F-43m (216)
* energy above the lowest structure with this stoichiometry: 185 meV per atom
* crystal system: cubic

***

[2]
CoReNiB: relaxed, PBE-GGA.

POSCAR file:
```
CoReNiB
1.0
3.337 -2.103 0.033
-0.069 -3.824 -0.965
1.605 -1.206 -3.395
Co Ni Re B
1 1 1 1
Direct
0.750 0.750 0.750
0.250 0.250 0.250
0.500 0.500 0.500
0.000 0.000 0.000
```

Summary:
* symmetry: F-43m (216)
* energy above the lowest structure with this stoichiometry: 330 meV per atom
* crystal system: cubic

***

[3]
LaCuSnSe2S: relaxed, PBE-GGA.

POSCAR file:
```
LaCuSnSe2S
1.0
0.515 5.324 4.483
-2.849 -6.244 -1.270
8.469 -4.834 4.768
Se S La Cu Sn
4 2 2 2 2
Direct
0.651 0.349 0.421
0.349 0.651 0.579
0.349 0.651 0.921
0.651 0.349 0.079
0.929 0.071 0.250
0.071 0.929 0.750
0.000 0.000 0.000
0.000 0.000 0.500
0.528 0.472 0.250
0.472 0.528 0.750
0.751 0.249 0.750
0.249 0.751 0.250
```

Summary:
* DFT total energy: -0.365 Ry/atom
* symmetry: Cmcm (63)
* crystal system: orthorhombic

***

[4]
Rb2MoI6: relaxed, PBE-GGA.

POSCAR file:
```
Rb2MoI6
1.0
-4.002 6.534 -1.925
-2.203 0.871 7.537
10.108 6.829 2.165
I Rb Mo
12 4 2
Direct
0.500 0.500 0.272
0.292 0.805 0.000
0.805 0.708 0.000
0.792 0.695 0.500
0.195 0.292 0.000
0.208 0.305 0.500
0.695 0.208 0.500
0.000 0.000 0.228
0.305 0.792 0.500
0.500 0.500 0.728
0.000 0.000 0.772
0.708 0.195 0.000
0.500 0.000 0.750
0.000 0.500 0.250
0.500 0.000 0.250
0.000 0.500 0.750
0.500 0.500 0.500
0.000 0.000 0.000
```

Summary:
* DFT total energy: -0.236 Ry/atom
* symmetry: P4/mnc (128)
* crystal system: tetragonal

***

[5]
Cd2BiPd: relaxed, PBE-GGA.

POSCAR file:
```
Cd2BiPd
1.0
1.186 -3.598 3.242
-2.982 -3.961 0.530
1.469 -4.467 -1.660
Cd Pd Bi
2 1 1
Direct
0.750 0.750 0.750
0.000 0.000 0.000
0.250 0.250 0.250
0.500 0.500 0.500
```

Summary:
* DFT total energy: -0.204 Ry/atom
* symmetry: F-43m (216)
* crystal system: cubic

***

[6]
Rb2PdI3F: relaxed, PBE-GGA.

POSCAR file:
```
Rb2PdI3F
1.0
-4.020 1.847 0.075
-3.118 -6.710 -1.961
-1.317 -3.146 6.853
Rb I F Pd
2 3 1 1
Direct
0.500 0.558 0.949
0.500 0.949 0.558
0.000 0.207 0.207
0.000 0.720 0.266
0.000 0.266 0.720
0.000 0.810 0.810
0.000 0.990 0.990
```

Summary:
* DFT total energy: -0.234 Ry/atom
* symmetry: Amm2 (38)
* crystal system: orthorhombic

***

[7]
Tl2CuH6Ir: relaxed, PBE-GGA.

POSCAR file:
```
Tl2CuH6Ir
1.0
0.000 3.817 3.817
3.817 0.000 3.817
3.817 3.817 0.000
Cu H Tl Ir
1 6 2 1
Direct
0.500 0.500 0.500
0.770 0.770 0.230
0.770 0.230 0.770
0.770 0.230 0.230
0.230 0.770 0.230
0.230 0.230 0.770
0.230 0.770 0.770
0.750 0.750 0.750
0.250 0.250 0.250
0.000 0.000 0.000
```

Summary:
* DFT total energy: -0.261 Ry/atom
* symmetry: Fm-3m (225)
* crystal system: cubic

***

[8]
SmTmIn: relaxed, PBE-GGA.

POSCAR file:
```
SmTmIn
1.0
-3.908 -3.747 0.059
3.684 0.132 3.965
-3.956 4.182 3.537
Tm Sm In
2 2 2
Direct
0.000 0.000 0.000
0.000 0.000 0.500
0.667 0.333 0.750
0.333 0.667 0.250
0.667 0.333 0.250
0.333 0.667 0.750
```

Summary:
* symmetry: P6_3/mmc (194)
* energy above the lowest structure with this stoichiometry: 0 meV per atom
* crystal system: hexagonal

***

[9]
Li2CuN: relaxed, PBE-GGA.

POSCAR file:
```
Li2CuN
1.0
5.290 0.000 0.000
0.000 6.754 0.000
0.000 0.000 4.796
Cu N Li
4 4 8
Direct
0.590 0.250 0.776
0.090 0.250 0.724
0.910 0.750 0.276
0.410 0.750 0.224
0.857 0.250 0.025
0.643 0.750 0.525
0.357 0.250 0.475
0.143 0.750 0.975
0.141 0.079 0.203
0.641 0.421 0.297
0.641 0.079 0.297
0.359 0.579 0.703
0.141 0.421 0.203
0.359 0.921 0.703
0.859 0.579 0.797
0.859 0.921 0.797
```

Summary:
* DFT total energy: -0.314 Ry/atom
* symmetry: Pnma (62)
* crystal system: orthorhombic

***

[10]
Nd4PO3: relaxed, PBE-GGA.

POSCAR file:
```
Nd4PO3
1.0
6.346 0.744 0.623
1.210 6.232 0.952
-4.083 -3.996 2.927
Nd O P
4 3 1
Direct
0.500 0.000 0.500
0.262 0.262 0.000
0.738 0.738 0.000
0.000 0.500 0.500
0.250 0.750 0.500
0.500 0.500 0.000
0.750 0.250 0.500
0.000 0.000 0.000
```

Summary:
* DFT total energy: -0.530 Ry/atom
* symmetry: I4/mmm (139)
* crystal system: tetragonal

***

[11]
Nd4BBr5: relaxed, PBE-GGA.

POSCAR file:
```
Nd4BBr5
1.0
-7.447 -5.884 -0.420
-6.075 -6.481 3.366
-3.492 7.361 2.426
B Br Nd
1 5 4
Direct
0.500 0.500 0.000
0.500 0.500 0.500
0.165 0.165 0.340
0.829 0.829 0.166
0.835 0.835 0.660
0.171 0.171 0.834
0.999 0.999 0.213
0.355 0.355 0.921
0.645 0.645 0.079
0.001 0.001 0.787
```

Summary:
* DFT total energy: -0.354 Ry/atom
* symmetry: C2/m (12)
* crystal system: monoclinic

***

[12]
Ga4Pd3Pt: relaxed, PBE-GGA.

POSCAR file:
```
Ga4Pd3Pt
1.0
3.515 2.029 2.849
-3.515 2.029 2.849
0.000 -4.059 2.849
Ga Pd Pt
4 3 1
Direct
0.844 0.158 0.343
0.343 0.844 0.158
0.158 0.343 0.844
0.657 0.657 0.657
0.856 0.645 0.141
0.141 0.856 0.645
0.645 0.141 0.856
0.357 0.357 0.357
```

Summary:
* DFT total energy: -0.359 Ry/atom
* symmetry: R3 (146)
* crystal system: trigonal

***

[13]
NdSm2As3: relaxed, PBE-GGA.

POSCAR file:
```
NdSm2As3
1.0
-2.815 -2.385 2.074
4.038 0.091 1.266
-2.141 7.971 6.259
As Sm Nd
3 2 1
Direct
0.667 0.333 0.670
0.000 0.000 0.000
0.333 0.667 0.330
0.333 0.667 0.835
0.667 0.333 0.165
0.000 0.000 0.500
```

Summary:
* DFT total energy: -0.457 Ry/atom
* symmetry: P-3m1 (164)
* crystal system: trigonal